Below is a relaxed SrTl2Si2 crystal, with properties calculated at the PBE-GGA level.

The raw total energy comes out at -3.36 eV/atom. Its spin magnetization is 0.000 μB per atom. The value obtained for the density is 6.7 g cm⁻³.

It has space group P4/mbm (No. 127), with a = 7.8610 Å, b = 7.8610 Å, c = 4.4209 Å, α = 90.00°, β = 90.00° and γ = 90.00°. The inequivalent atoms are Sr at (0.0000, 0.0000, 0.0000), Tl at (0.1730, 0.3270, 0.5000) and Si at (0.1035, 0.6035, 0.0000).